Record 1
# Mg2TePb4WO12

A relaxed structure of Mg2TePb4WO12 (PBEsol, Alexandria).

## Properties
Energy relative to the elements, uncorrected (eV per atom): -1.71
Space group: Pmc2_1, No. 26

```
Mg2TePb4WO12
1.0
-2.871 -4.239 2.440
5.586 -0.531 5.649
-5.696 7.507 6.338
Pb O Te Mg W
8 24 2 4 2
Direct
0.958 0.255 0.635
0.524 0.248 0.364
0.042 0.745 0.135
0.476 0.752 0.864
0.476 0.248 0.864
0.958 0.745 0.635
0.524 0.752 0.364
0.042 0.255 0.135
0.736 0.500 0.503
0.765 0.500 0.738
0.980 0.242 0.368
0.483 0.742 0.133
0.230 0.000 0.003
0.264 0.500 0.003
0.719 0.500 0.253
0.213 0.000 0.245
0.020 0.242 0.868
0.744 0.000 0.984
0.770 0.000 0.503
0.254 0.500 0.509
0.787 0.000 0.745
0.020 0.758 0.868
0.256 0.000 0.484
0.727 0.000 0.268
0.281 0.500 0.753
0.517 0.742 0.633
0.273 0.000 0.768
0.235 0.500 0.238
0.746 0.500 0.009
0.980 0.758 0.368
0.483 0.258 0.133
0.517 0.258 0.633
0.002 0.000 0.877
0.998 0.000 0.377
0.998 0.500 0.877
0.488 0.000 0.621
0.002 0.500 0.377
0.512 0.000 0.121
0.509 0.500 0.121
0.491 0.500 0.621
```

Record 2
# MoRu

A relaxed structure of MoRu (PBEsol, Alexandria).

## Properties
Calculated formation energy (eV/atom): 0.07
Space group: Cm, No. 8

```
MoRu
1.0
2.728 0.000 0.000
-1.364 5.029 -0.003
0.000 -1.597 6.255
Ru Mo
3 3
Direct
0.664 0.327 0.336
0.057 0.114 0.611
0.722 0.444 0.943
0.010 0.021 0.999
0.327 0.654 0.665
0.387 0.774 0.280
```

Record 3
# Zr2TiAsPd

A relaxed structure of Zr2TiAsPd (PBEsol, Alexandria).

## Properties
Calculated formation energy (eV/atom): 0.57
Space group: P4/mmm, No. 123

```
Zr2TiAsPd
1.0
-2.935 1.600 -3.037
-2.661 -4.245 0.335
-2.736 2.007 3.701
As Zr Pd Ti
1 2 1 1
Direct
0.500 0.000 0.000
0.000 0.500 0.000
0.000 0.000 0.500
0.000 0.000 0.000
0.500 0.500 0.500
```

Record 4
# FeIrPb2

A relaxed structure of FeIrPb2 (PBEsol, Alexandria).

## Properties
Calculated formation energy (eV/atom): 0.50
E above lowest polymorph (meV per atom): 129
Space group: Cm, No. 8

```
FeIrPb2
1.0
3.083 0.000 0.000
-1.541 5.052 0.014
0.000 -1.863 4.963
Pb Ir Fe
2 1 1
Direct
0.974 0.948 0.944
0.777 0.554 0.316
0.211 0.423 0.783
0.538 0.075 0.457
```